[1]
An optimized crystal structure of TbMgTiZn. Source: Alexandria via LeMat-Bulk, functional PBE.

Output
* space-group type: F-43m
* formation energy: 0.0312 eV per atom
* D(E_F): 15.97 states/eV/cell
* M_tot: 0.8 μB per formula unit
* theoretical density: 5.89 Mg/m³

abc: 6.9418 6.9418 6.9418
angles: 90.00 90.00 90.00
With the nearest neighbours (Å) after each atom.
Positions (direct):
Tb (0.0000, 0.0000, 0.0000)  4 Mg 3.01, 4 Zn 3.01
Tb (0.0000, 0.5000, 0.5000)  4 Mg 3.01, 4 Zn 3.01
Tb (0.5000, 0.0000, 0.5000)  4 Mg 3.01, 4 Zn 3.01
Tb (0.5000, 0.5000, 0.0000)  4 Mg 3.01, 4 Zn 3.01
Mg (0.2500, 0.2500, 0.7500)  4 Tb 3.01, 4 Ti 3.01
Mg (0.2500, 0.7500, 0.2500)  4 Tb 3.01, 4 Ti 3.01
Mg (0.7500, 0.2500, 0.2500)  4 Tb 3.01, 4 Ti 3.01
Mg (0.7500, 0.7500, 0.7500)  4 Tb 3.01, 4 Ti 3.01
Ti (0.0000, 0.0000, 0.5000)  4 Mg 3.01, 4 Zn 3.01
Ti (0.0000, 0.5000, 0.0000)  4 Zn 3.01, 4 Mg 3.01
Ti (0.5000, 0.0000, 0.0000)  4 Zn 3.01, 4 Mg 3.01
Ti (0.5000, 0.5000, 0.5000)  4 Zn 3.01, 4 Mg 3.01
Zn (0.2500, 0.2500, 0.2500)  4 Tb 3.01, 4 Ti 3.01
Zn (0.2500, 0.7500, 0.7500)  4 Tb 3.01, 4 Ti 3.01
Zn (0.7500, 0.2500, 0.7500)  4 Tb 3.01, 4 Ti 3.01
Zn (0.7500, 0.7500, 0.2500)  4 Tb 3.01, 4 Ti 3.01

[2]
An optimized crystal structure of KFe2Cl2. Source: Alexandria via LeMat-Bulk, functional PBE.

Output
* space-group type: I4/mmm
* D(E_F): 7.62 states/eV/cell
* energy relative to the elements, uncorrected: -0.302 eV per atom
* M_tot: 6.5 μB per formula unit
* theoretical density: 3.53 Mg/m³

abc: 3.5625 3.5625 16.4228
angles: 90.00 90.00 90.00
With the nearest neighbours (Å) after each atom.
Positions (direct):
K (0.0000, 0.0000, 0.0000)  8 Cl 3.15
K (0.5000, 0.5000, 0.5000)  8 Cl 3.15
Fe (0.0000, 0.5000, 0.2500)  4 Fe 2.52
Fe (0.0000, 0.5000, 0.7500)  4 Fe 2.52
Fe (0.5000, 0.0000, 0.2500)  4 Fe 2.52
Fe (0.5000, 0.0000, 0.7500)  4 Fe 2.52
Cl (0.0000, 0.0000, 0.3850)  4 Fe 2.84, 4 K 3.15
Cl (0.0000, 0.0000, 0.6150)  4 Fe 2.84, 4 K 3.15
Cl (0.5000, 0.5000, 0.1150)  4 Fe 2.84, 4 K 3.15
Cl (0.5000, 0.5000, 0.8850)  4 Fe 2.84, 4 K 3.15